Here is a geometry-optimized Ce2Ga4Cu3Pt structure from Alexandria. Energies are from GGA-PBE.

Unit cell a=4.252 b=4.252 c=10.064 alpha=90.00 beta=90.00 gamma=90.00
Element x y z (fractional)
Ce 0.000 0.500 0.249
Ce 0.500 0.000 0.751
Ga 0.000 0.000 0.500
Ga 0.000 0.500 0.865
Ga 0.500 0.000 0.135
Ga 0.500 0.500 0.500
Cu 0.000 0.000 0.000
Cu 0.000 0.500 0.628
Cu 0.500 0.000 0.372
Pt 0.500 0.500 0.000

Calculated values
For the formation energy, the calculation gives -0.521 eV per atom. The space group is No. 115.

=====

Here is a geometry-optimized GaWC structure from Alexandria. Energies are from GGA-PBE.

Unit cell a=12.283 b=12.283 c=12.283 alpha=14.52 beta=14.52 gamma=14.52
Element x y z (fractional)
Ga 0.137 0.137 0.137
Ga 0.863 0.863 0.863
W 0.410 0.410 0.410
W 0.590 0.590 0.590
C 0.282 0.282 0.282
C 0.718 0.718 0.718

Calculated values
For the formation energy, the calculation gives 0.606 eV per atom. The space group is No. 166.

=====

Here is a geometry-optimized LiLa2NiSn structure from Alexandria. Energies are from GGA-PBE.

Unit cell a=5.343 b=5.343 c=4.737 alpha=90.00 beta=90.00 gamma=90.00
Element x y z (fractional)
Li 0.000 0.000 0.000
La 0.000 0.500 0.500
La 0.500 0.000 0.500
Ni 0.000 0.000 0.500
Sn 0.500 0.500 0.000

Calculated values
For the formation energy, the calculation gives -0.355 eV per atom. The space group is No. 123.

=====

Here is a geometry-optimized Sm3Zr3UN8 structure from Alexandria. Energies are from GGA-PBE.

Unit cell a=6.914 b=6.914 c=6.914 alpha=58.19 beta=58.19 gamma=58.19
Element x y z (fractional)
Sm 0.000 0.500 0.500
Sm 0.500 0.000 0.500
Sm 0.500 0.500 0.000
Zr 0.000 0.000 0.500
Zr 0.000 0.500 0.000
Zr 0.500 0.000 0.000
U 0.500 0.500 0.500
N 0.241 0.241 0.241
N 0.249 0.729 0.729
N 0.271 0.271 0.751
N 0.271 0.751 0.271
N 0.729 0.249 0.729
N 0.729 0.729 0.249
N 0.751 0.271 0.271
N 0.759 0.759 0.759

Calculated values
The value obtained for the formation energy without anion corrections is -2155 kJ/mol of formula units. The space group is No. 166.

=====

Here is a geometry-optimized CaDy2Ag3 structure from Alexandria. Energies are from GGA-PBE.

Unit cell a=5.150 b=5.150 c=12.682 alpha=90.00 beta=90.00 gamma=120.00
Element x y z (fractional)
Ca 0.333 0.667 0.167
Ca 0.667 0.333 0.833
Dy 0.000 0.000 0.000
Dy 0.000 0.000 0.500
Dy 0.333 0.667 0.666
Dy 0.667 0.333 0.334
Ag 0.000 0.000 0.253
Ag 0.000 0.000 0.747
Ag 0.333 0.667 0.423
Ag 0.333 0.667 0.917
Ag 0.667 0.333 0.083
Ag 0.667 0.333 0.577

Calculated values
For the formation energy, the calculation gives -0.309 eV per atom. The space group is No. 164.

=====

Here is a geometry-optimized CdHCl3 structure from Alexandria. Energies are from GGA-PBE.

Unit cell a=3.869 b=7.277 c=9.466 alpha=81.47 beta=89.55 gamma=89.85
Element x y z (fractional)
Cd 0.246 0.041 0.175
Cd 0.754 0.959 0.825
H 0.248 0.253 0.456
H 0.752 0.747 0.544
Cl 0.241 0.349 0.326
Cl 0.252 0.788 0.990
Cl 0.256 0.116 0.668
Cl 0.744 0.884 0.332
Cl 0.748 0.212 0.010
Cl 0.759 0.651 0.674

Calculated values
The space group is No. 2.

=====

Here is a geometry-optimized Re3AuCl structure from Alexandria. Energies are from GGA-PBE.

Unit cell a=4.358 b=4.358 c=4.358 alpha=90.00 beta=90.00 gamma=90.00
Element x y z (fractional)
Re 0.000 0.000 0.500
Re 0.000 0.500 0.000
Re 0.500 0.000 0.000
Au 0.500 0.500 0.500
Cl 0.000 0.000 0.000

Calculated values
The value obtained for the formation energy without anion corrections is 823 kJ/mol of formula units. The space group is No. 221.

=====

Here is a geometry-optimized Mg2NiGe structure from Alexandria. Energies are from GGA-PBE.

Unit cell a=4.059 b=4.059 c=3.899 alpha=90.00 beta=90.00 gamma=90.00
Element x y z (fractional)
Mg 0.000 0.500 0.000
Mg 0.500 0.000 0.000
Ni 0.000 0.000 0.500
Ge 0.500 0.500 0.500

Calculated values
For the formation energy, the calculation gives -0.134 eV per atom. The space group is No. 123.

=====

Here is a geometry-optimized BaTiCuBi2 structure from Alexandria. Energies are from GGA-PBE.

Unit cell a=5.437 b=5.437 c=5.166 alpha=90.00 beta=90.00 gamma=90.00
Element x y z (fractional)
Ba 0.000 0.000 0.000
Ti 0.500 0.500 0.500
Cu 0.500 0.500 0.000
Bi 0.000 0.500 0.500
Bi 0.500 0.000 0.500

Calculated values
For the formation energy, the calculation gives -0.156 eV per atom. The space group is No. 123.

=====

Here is a geometry-optimized TaCrNi2 structure from Alexandria. Energies are from GGA-PBE.

Unit cell a=2.643 b=3.729 c=5.204 alpha=90.00 beta=90.08 gamma=90.00
Element x y z (fractional)
Ta 0.000 0.000 0.000
Cr 0.000 0.000 0.500
Ni 0.500 0.500 0.266
Ni 0.500 0.500 0.734

Calculated values
For the formation energy, the calculation gives -0.031 eV per atom. The space group is No. 10.

=====

Here is a geometry-optimized Nd2ZnHg3 structure from Alexandria. Energies are from GGA-PBE.

Unit cell a=9.824 b=9.245 c=6.066 alpha=76.73 beta=66.33 gamma=36.94
Element x y z (fractional)
Nd 0.245 0.755 0.755
Nd 0.250 0.250 0.250
Nd 0.750 0.750 0.750
Nd 0.755 0.245 0.245
Zn 0.333 0.333 0.667
Zn 0.667 0.667 0.333
Hg 0.172 0.172 0.828
Hg 0.173 0.655 0.345
Hg 0.345 0.827 0.173
Hg 0.655 0.173 0.827
Hg 0.827 0.345 0.655
Hg 0.828 0.828 0.172

Calculated values
For the formation energy, the calculation gives -0.422 eV per atom. The space group is No. 69.

=====

Here is a geometry-optimized SiP2Ru structure from Alexandria. Energies are from GGA-PBE.

Unit cell a=3.179 b=3.179 c=19.512 alpha=90.00 beta=90.00 gamma=120.00
Element x y z (fractional)
Si 0.000 0.000 0.000
Si 0.333 0.667 0.667
Si 0.667 0.333 0.333
P 0.000 0.000 0.252
P 0.000 0.000 0.748
P 0.333 0.667 0.414
P 0.333 0.667 0.919
P 0.667 0.333 0.081
P 0.667 0.333 0.586
Ru 0.000 0.000 0.500
Ru 0.333 0.667 0.167
Ru 0.667 0.333 0.833

Calculated values
The value obtained for the formation energy without anion corrections is 9 kJ/mol of formula units. The space group is No. 166.

=====

Here is a geometry-optimized Li3BePd structure from Alexandria. Energies are from GGA-PBE.

Unit cell a=4.312 b=4.312 c=4.312 alpha=90.00 beta=90.00 gamma=90.00
Element x y z (fractional)
Li 0.000 0.000 0.500
Li 0.000 0.500 0.000
Li 0.500 0.000 0.000
Be 0.000 0.000 0.000
Pd 0.500 0.500 0.500

Calculated values
For the formation energy, the calculation gives 0.485 eV per atom. The space group is No. 221.

=====

Density (g cm⁻³)
8.62 8.70 5.67 7.97 7.85 2.77 15.87 4.65 7.25 11.35 10.61 5.57 2.82
E (eV/cell)
-47.51 -46.77 -23.33 -140.03 -43.22 -28.12 -33.93 -14.12 -22.46 -33.16 -28.49 -76.28 -12.24